# CaLa3H

A relaxed structure of CaLa3H (GGA-PBE, Alexandria via LeMat-Bulk).

Geometry as POSCAR:
```
CaLa3H
1.0
5.322 0.000 0.000
0.000 5.322 0.000
0.000 0.000 5.322
La Ca H
3 1 1
direct
0.000 0.000 0.500 La
0.000 0.500 0.000 La
0.500 0.000 0.000 La
0.500 0.500 0.500 Ca
0.000 0.000 0.000 H
```

Calculated values
The space group is Pm-3m. Its total energy is -20.8 eV for the cell shown. For the density, the calculation gives 5.0 g cm⁻³. The magnetic moment is 0.0 μB/f.u.